1.
A relaxed structure of Rb2ZnAsCl6. Source: Alexandria via LeMat-Bulk, functional PBE-GGA.

Summary:
E_form (uncorrected) = -1201 meV per atom

Lattice parameters (Å, degrees): 10.4091 10.4084 7.5385 90.00 133.61 90.00
Space group C2/m (No. 12)
Asymmetric unit:
1 Rb 0.0000 0.2500 0.0000 (multiplicity 4)
2 Zn 0.0000 0.0000 0.5000 (multiplicity 2)
3 As 0.0000 0.5000 0.5000 (multiplicity 2)
4 Cl 0.0000 0.2602 0.5000 (multiplicity 4)
5 Cl 0.2045 0.0000 0.9104 (multiplicity 4)
6 Cl 0.2390 0.5000 0.4984 (multiplicity 4)

***

2.
A relaxed structure of AsSe2I. Source: Alexandria via LeMat-Bulk, functional PBE-GGA.

Summary:
E_form (uncorrected) = 33 meV per atom
polymorph energy (0 for the lowest one) = 36 meV per atom

Lattice parameters (Å, degrees): 4.0887 4.0887 25.1142 90.00 90.00 120.00
Space group R-3m (No. 166, hexagonal axes)
Asymmetric unit:
1 As 0.0000 0.0000 0.0000 (multiplicity 3)
2 Se 0.0000 0.0000 0.3902 (multiplicity 6)
3 I 0.0000 0.0000 0.5000 (multiplicity 3)

***

3.
A relaxed structure of Cu2AgSeO6. Source: Alexandria via LeMat-Bulk, functional PBE-GGA.

Summary:
E_form (uncorrected) = -324 meV per atom

Lattice parameters (Å, degrees): 9.4738 9.2918 5.3760 90.00 96.03 90.00
Space group C2/c (No. 15)
Asymmetric unit:
1 Cu 0.1804 0.0985 0.3011 (multiplicity 8)
2 Ag 0.0000 0.4150 0.2500 (multiplicity 4)
3 Se 0.0000 0.2208 0.7500 (multiplicity 4)
4 O 0.1043 0.2359 0.0562 (multiplicity 8)
5 O 0.1174 0.3770 0.6342 (multiplicity 8)
6 O 0.1217 0.0871 0.6423 (multiplicity 8)

***

4.
A relaxed structure of Li4Cd5Ge. Source: Alexandria via LeMat-Bulk, functional PBE-GGA.

Summary:
energy of formation = -211 meV per atom

Lattice parameters (Å, degrees): 14.5007 4.6413 5.8515 90.00 108.22 90.00
Space group C2/m (No. 12)
Asymmetric unit:
1 Li 0.0887 0.0000 0.3927 (multiplicity 4)
2 Li 0.1895 0.5000 0.7817 (multiplicity 4)
3 Cd 0.0000 0.5000 0.0000 (multiplicity 2)
4 Cd 0.1142 0.0000 0.9071 (multiplicity 4)
5 Cd 0.2103 0.5000 0.3090 (multiplicity 4)
6 Ge 0.0000 0.5000 0.5000 (multiplicity 2)

***

5.
A relaxed structure of Cs2PmInCl6. Source: Alexandria via LeMat-Bulk, functional PBE-GGA.

Summary:
E_form (uncorrected) = -1923 meV per atom

Lattice parameters (Å, degrees): 7.9733 8.3003 13.9061 90.00 124.70 90.00
Space group P2_1/c (No. 14)
Asymmetric unit:
1 Cs 0.2330 0.0585 0.2497 (multiplicity 4)
2 Pm 0.5000 0.0000 0.0000 (multiplicity 2)
3 In 0.0000 0.0000 0.5000 (multiplicity 2)
4 Cl 0.1825 0.1856 0.9595 (multiplicity 4)
5 Cl 0.2722 0.7277 0.9545 (multiplicity 4)
6 Cl 0.3521 0.0246 0.7688 (multiplicity 4)

***

6.
A relaxed structure of Ce2Be2GaRh5. Source: Alexandria via LeMat-Bulk, functional PBE-GGA.

Summary:
energy of formation = -776 meV per atom

Lattice parameters (Å, degrees): 9.4653 9.4653 3.4224 90.00 90.00 90.00
Space group P4/mbm (No. 127)
Asymmetric unit:
1 Ce 0.1775 0.3225 0.0000 (multiplicity 4)
2 Be 0.1195 0.6195 0.0000 (multiplicity 4)
3 Ga 0.0000 0.0000 0.0000 (multiplicity 2)
4 Rh 0.0000 0.5000 0.5000 (multiplicity 2)
5 Rh 0.0711 0.7877 0.5000 (multiplicity 8)

***

7.
A relaxed structure of Tb6Pm2Tm3Th. Source: Alexandria via LeMat-Bulk, functional PBE-GGA.

Summary:
energy of formation = 32 meV per atom

Lattice parameters (Å, degrees): 6.1762 10.6831 11.7952 90.00 100.02 90.00
Space group C2/m (No. 12)
Asymmetric unit:
1 Tb 0.2444 0.0000 0.2475 (multiplicity 4)
2 Tb 0.2501 0.1649 0.7524 (multiplicity 8)
3 Pm 0.0000 0.3334 0.5000 (multiplicity 4)
4 Tm 0.0000 0.1670 0.0000 (multiplicity 4)
5 Tm 0.0000 0.5000 0.0000 (multiplicity 2)
6 Th 0.0000 0.0000 0.5000 (multiplicity 2)

***

8.
A relaxed structure of AlGaAu. Source: Alexandria via LeMat-Bulk, functional PBE-GGA.

Summary:
energy of formation = -164 meV per atom

Lattice parameters (Å, degrees): 3.2318 3.2318 5.9615 90.00 90.00 120.00
Space group P3m1 (No. 156)
Asymmetric unit:
1 Al 0.0000 0.0000 0.0000 (multiplicity 1)
2 Ga 0.6667 0.3333 0.3450 (multiplicity 1)
3 Au 0.3333 0.6667 0.6869 (multiplicity 1)

***

9.
A relaxed structure of DyHoAs. Source: Alexandria via LeMat-Bulk, functional PBE-GGA.

Summary:
energy of formation = -854 meV per atom
polymorph energy (0 for the lowest one) = 42 meV per atom

Lattice parameters (Å, degrees): 3.9706 3.9706 6.4039 90.00 90.00 120.00
Space group P3m1 (No. 156)
Asymmetric unit:
1 Dy 0.0000 0.0000 0.0000 (multiplicity 1)
2 Ho 0.6667 0.3333 0.5192 (multiplicity 1)
3 As 0.3333 0.6667 0.2609 (multiplicity 1)

***

10.
A relaxed structure of MgSnAuO2. Source: Alexandria via LeMat-Bulk, functional PBE-GGA.

Summary:
E_form (uncorrected) = 229 meV per atom

Lattice parameters (Å, degrees): 4.1501 4.1501 5.5243 90.00 90.00 90.00
Space group P4/mmm (No. 123)
Asymmetric unit:
1 Mg 0.0000 0.0000 0.0000 (multiplicity 1)
2 Sn 0.5000 0.5000 0.0000 (multiplicity 1)
3 Au 0.5000 0.5000 0.5000 (multiplicity 1)
4 O 0.0000 0.5000 0.5000 (multiplicity 2)

***

11.
A relaxed structure of ErGeI. Source: Alexandria via LeMat-Bulk, functional PBE-GGA.

Summary:
E_form (uncorrected) = -861 meV per atom

Lattice parameters (Å, degrees): 24.5115 4.0956 7.9749 90.00 94.18 90.00
Space group C2/m (No. 12)
Asymmetric unit:
1 Er 0.1643 0.0000 0.0951 (multiplicity 4)
2 Er 0.1638 0.0000 0.6072 (multiplicity 4)
3 Ge 0.2473 0.5000 0.1339 (multiplicity 4)
4 Ge 0.2502 0.0000 0.3712 (multiplicity 4)
5 I 0.0723 0.0000 0.3287 (multiplicity 4)
6 I 0.1002 0.5000 0.8348 (multiplicity 4)

***

12.
A relaxed structure of LiZr2Sb2. Source: Alexandria via LeMat-Bulk, functional PBE-GGA.

Summary:
E_form (uncorrected) = -393 meV per atom
polymorph energy (0 for the lowest one) = 167 meV per atom

Lattice parameters (Å, degrees): 8.0092 8.0092 3.7051 90.00 90.00 90.00
Space group P4/mbm (No. 127)
Asymmetric unit:
1 Li 0.0000 0.0000 0.0000 (multiplicity 2)
2 Zr 0.1361 0.3639 0.0000 (multiplicity 4)
3 Sb 0.1596 0.6596 0.5000 (multiplicity 4)

***

13.
A relaxed structure of K2PrZrSe4. Source: Alexandria via LeMat-Bulk, functional PBE-GGA.

Summary:
E_form (uncorrected) = -1504 meV per atom

Lattice parameters (Å, degrees): 7.2260 4.1276 8.1084 90.00 106.88 90.00
Space group P2/m (No. 10)
Asymmetric unit:
1 K 0.0000 0.0000 0.0000 (multiplicity 1)
2 K 0.5000 0.5000 0.0000 (multiplicity 1)
3 Pr 0.0000 0.5000 0.5000 (multiplicity 1)
4 Zr 0.5000 0.0000 0.5000 (multiplicity 1)
5 Se 0.2582 0.0000 0.7123 (multiplicity 2)
6 Se 0.2843 0.5000 0.2966 (multiplicity 2)

***

14.
A relaxed structure of Nd4PdCl5. Source: Alexandria via LeMat-Bulk, functional PBE-GGA.

Summary:
E_form (uncorrected) = -1643 meV per atom

Lattice parameters (Å, degrees): 18.1244 3.9435 8.6302 90.00 101.81 90.00
Space group C2/m (No. 12)
Asymmetric unit:
1 Nd 0.0050 0.0000 0.2329 (multiplicity 4)
2 Nd 0.1672 0.5000 0.0708 (multiplicity 4)
3 Pd 0.0000 0.5000 0.0000 (multiplicity 2)
4 Cl 0.0000 0.5000 0.5000 (multiplicity 2)
5 Cl 0.1654 0.0000 0.8214 (multiplicity 4)
6 Cl 0.1679 0.0000 0.3120 (multiplicity 4)

***

15.
A relaxed structure of Y3GeO8. Source: Alexandria via LeMat-Bulk, functional PBE-GGA.

Summary:
E_form (uncorrected) = -2399 meV per atom

Lattice parameters (Å, degrees): 5.4308 10.3806 6.0754 90.00 104.01 90.00
Space group P2_1/m (No. 11)
Asymmetric unit:
1 Y 0.1919 0.0475 0.3047 (multiplicity 4)
2 Y 0.2747 0.2500 0.8170 (multiplicity 2)
3 Ge 0.3095 0.7500 0.5103 (multiplicity 2)
4 O 0.0453 0.6313 0.4595 (multiplicity 4)
5 O 0.0997 0.2500 0.1273 (multiplicity 2)
6 O 0.1854 0.0247 0.9348 (multiplicity 4)
7 O 0.4774 0.7500 0.8072 (multiplicity 2)
8 O 0.4928 0.6254 0.3860 (multiplicity 4)

***

16.
A relaxed structure of K2CaMgZr. Source: Alexandria via LeMat-Bulk, functional PBE-GGA.

Summary:
energy of formation = 1212 meV per atom

Lattice parameters (Å, degrees): 6.7286 6.7286 6.0050 90.00 90.00 90.00
Space group P4/mmm (No. 123)
Asymmetric unit:
1 K 0.0000 0.5000 0.0000 (multiplicity 2)
2 Ca 0.0000 0.0000 0.0000 (multiplicity 1)
3 Mg 0.5000 0.5000 0.5000 (multiplicity 1)
4 Zr 0.0000 0.0000 0.5000 (multiplicity 1)

***

17.
A relaxed structure of PrMgGaRh. Source: Alexandria via LeMat-Bulk, functional PBE-GGA.

Summary:
energy of formation = -428 meV per atom

Lattice parameters (Å, degrees): 6.9226 6.9226 6.9226 90.00 90.00 90.00
Space group F-43m (No. 216)
Asymmetric unit:
1 Pr 0.0000 0.0000 0.0000 (multiplicity 4)
2 Mg 0.0000 0.0000 0.5000 (multiplicity 4)
3 Ga 0.2500 0.2500 0.2500 (multiplicity 4)
4 Rh 0.2500 0.2500 0.7500 (multiplicity 4)

***

18.
A relaxed structure of ZrBe2RuSe. Source: Alexandria via LeMat-Bulk, functional PBE-GGA.

Summary:
E_form (uncorrected) = 248 meV per atom
polymorph energy (0 for the lowest one) = 0 meV per atom

Lattice parameters (Å, degrees): 4.1947 4.1947 5.0965 90.00 90.00 90.00
Space group P4/mmm (No. 123)
Asymmetric unit:
1 Zr 0.0000 0.0000 0.0000 (multiplicity 1)
2 Be 0.0000 0.5000 0.5000 (multiplicity 2)
3 Ru 0.0000 0.0000 0.5000 (multiplicity 1)
4 Se 0.5000 0.5000 0.0000 (multiplicity 1)

***

19.
A relaxed structure of Sm4GeHS2. Source: Alexandria via LeMat-Bulk, functional PBE-GGA.

Summary:
calculated total energy = -5.6799 eV/atom

Lattice parameters (Å, degrees): 8.0347 11.4226 8.0861 90.00 90.00 90.00
Space group Fmm2 (No. 42)
Asymmetric unit:
1 Sm 0.0000 0.2488 0.0000 (multiplicity 8)
2 Sm 0.2350 0.0000 0.7402 (multiplicity 8)
3 Ge 0.0000 0.0000 0.0063 (multiplicity 4)
4 H 0.0000 0.0000 0.5414 (multiplicity 4)
5 S 0.2500 0.2500 0.2493 (multiplicity 8)

***

20.
A relaxed structure of NaAl3Sb3. Source: Alexandria via LeMat-Bulk, functional PBE-GGA.

Summary:
E_form (uncorrected) = -77 meV per atom

Lattice parameters (Å, degrees): 10.2258 10.2258 4.9161 90.00 90.00 120.00
Space group P6_3/m (No. 176)
Asymmetric unit:
1 Na 0.3333 0.6667 0.2500 (multiplicity 2)
2 Al 0.0539 0.4073 0.7500 (multiplicity 6)
3 Sb 0.0825 0.6882 0.7500 (multiplicity 6)